Hf4GaAsC2: relaxed, GGA-PBE.

Cell lengths 3.3495, 3.3495, 13.3134 Å; angles 90.00, 90.00, 120.00 degrees
Last column: nearest neighbours and their distance in Å.
Element x y z (fractional)
Hf  0.0000  0.0000  0.1471  3 C 2.30
Hf  0.0000  0.0000  0.8529  3 C 2.30
Hf  0.3333  0.6667  0.3330  3 C 2.29
Hf  0.3333  0.6667  0.6670  3 C 2.29
Ga  0.0000  0.0000  0.5000  6 Hf 2.95
As  0.3333  0.6667  0.0000  6 Hf 2.75
C  0.6667  0.3333  0.2407  6 Hf 2.29-2.30
C  0.6667  0.3333  0.7593  6 Hf 2.29-2.30

Summary:
Magnetic moment = 0.0001 μB/atom
VASP energy = -72.84 eV for the cell shown